! Li2Pd5Au4 (PBE-GGA, relaxed); values from VASP
! Calculated formation energy in eV/atom: -0.09
! SG: No. 12
&SYSTEM
  ibrav = 0, nat = 11, ntyp = 3
/
ATOMIC_SPECIES
Pd 106.42 Pd.upf
Au 196.97 Au.upf
Li 6.94 Li.upf
ATOMIC_POSITIONS angstrom
Pd 2.854 3.630 3.601
Pd 1.865 0.000 -0.455
Au 2.530 5.995 2.272
Li 1.989 4.232 0.054
Pd 0.547 4.016 2.243
Pd 3.219 1.442 5.096
Pd 0.183 6.204 0.749
Au 0.089 2.111 0.364
Au 3.312 5.536 5.480
Au 0.871 1.652 3.572
Li 1.413 3.415 5.790
CELL_PARAMETERS angstrom
3.729 0.000 -0.910
-0.246 6.505 -1.007
-0.082 1.141 7.761